[1]
Compound: RbHgAu
Source: Alexandria via LeMat-Bulk
Functional: PBE
Structure: optimized geometry

Unit cell a=5.473 b=5.473 c=5.473 alpha=60.00 beta=60.00 gamma=60.00
Sites, in units of the cell vectors:
Rb1 0.000 0.000 0.000
Hg1 0.500 0.500 0.500
Au1 0.750 0.750 0.750

The calculated total energy is -1.72 eV per atom. The calculated formation energy comes out at -0.203 eV/atom. As for the relative energy among the computed polymorphs: 0.072 eV per atom. The space-group type is F-43m, No. 216.



[2]
Compound: RbHgAu2
Source: Alexandria via LeMat-Bulk
Functional: PBE
Structure: optimized geometry

Unit cell a=10.532 b=10.532 c=10.532 alpha=150.29 beta=150.29 gamma=42.52
Sites, in units of the cell vectors:
Rb1 0.375 0.625 0.750
Rb2 0.625 0.375 0.250
Hg1 0.125 0.875 0.250
Hg2 0.875 0.125 0.750
Au1 0.000 0.000 0.000
Au2 0.000 0.000 0.500
Au3 0.000 0.500 0.000
Au4 0.500 0.000 0.500

The calculated total energy is -2.14 eV per atom. The calculated formation energy comes out at -0.180 eV/atom. The space-group type is I4_1/amd, No. 141.



[3]
Compound: RbHgAu
Source: Alexandria via LeMat-Bulk
Functional: PBE
Structure: optimized geometry

Unit cell a=7.637 b=7.637 c=7.637 alpha=90.00 beta=90.00 gamma=90.00
Sites, in units of the cell vectors:
Rb1 0.076 0.076 0.076
Rb2 0.424 0.924 0.576
Rb3 0.576 0.424 0.924
Rb4 0.924 0.576 0.424
Hg1 0.064 0.564 0.936
Hg2 0.436 0.436 0.436
Hg3 0.564 0.936 0.064
Hg4 0.936 0.064 0.564
Au1 0.188 0.312 0.688
Au2 0.312 0.688 0.188
Au3 0.688 0.188 0.312
Au4 0.812 0.812 0.812

The calculated total energy is -1.76 eV per atom. The calculated formation energy comes out at -0.242 eV/atom. As for the relative energy among the computed polymorphs: 0.034 eV per atom. The space-group type is P2_13, No. 198.



[4]
Compound: RbHgAu
Source: Alexandria via LeMat-Bulk
Functional: PBE
Structure: optimized geometry

Unit cell a=7.402 b=7.055 c=9.259 alpha=90.00 beta=123.55 gamma=90.00
Sites, in units of the cell vectors:
Rb1 0.205 0.121 0.413
Rb2 0.205 0.379 0.913
Rb3 0.795 0.621 0.087
Rb4 0.795 0.879 0.587
Hg1 0.230 0.623 0.574
Hg2 0.230 0.877 0.074
Hg3 0.770 0.123 0.926
Hg4 0.770 0.377 0.426
Au1 0.369 0.587 0.332
Au2 0.369 0.913 0.832
Au3 0.631 0.087 0.168
Au4 0.631 0.413 0.668

The calculated total energy is -1.78 eV per atom. The calculated formation energy comes out at -0.261 eV/atom. As for the relative energy among the computed polymorphs: 0.015 eV per atom. The space-group type is P2_1/c, No. 14.



[5]
Compound: Rb7Hg3Au
Source: Alexandria via LeMat-Bulk
Functional: PBE
Structure: optimized geometry

Unit cell a=8.680 b=8.680 c=8.347 alpha=103.30 beta=103.30 gamma=86.96
Sites, in units of the cell vectors:
Rb1 0.000 0.000 0.000
Rb2 0.133 0.133 0.558
Rb3 0.345 0.681 0.554
Rb4 0.416 0.416 0.993
Rb5 0.525 0.942 0.172
Rb6 0.681 0.345 0.554
Rb7 0.942 0.525 0.172
Hg1 0.034 0.583 0.748
Hg2 0.583 0.034 0.748
Hg3 0.807 0.807 0.561
Au1 0.288 0.288 0.290

The calculated total energy is -1.14 eV per atom. The calculated formation energy comes out at -0.147 eV/atom. The space-group type is Cm, No. 8.



[6]
Compound: Rb2HgAu
Source: Alexandria via LeMat-Bulk
Functional: PBE
Structure: optimized geometry

Unit cell a=6.956 b=4.967 c=10.008 alpha=90.00 beta=108.16 gamma=90.00
Sites, in units of the cell vectors:
Rb1 0.202 0.250 0.424
Rb2 0.274 0.750 0.067
Rb3 0.726 0.250 0.933
Rb4 0.798 0.750 0.576
Hg1 0.350 0.750 0.720
Hg2 0.650 0.250 0.280
Au1 0.161 0.250 0.782
Au2 0.839 0.750 0.218

The calculated total energy is -1.67 eV per atom. The calculated formation energy comes out at -0.288 eV/atom. The space-group type is P2_1/m, No. 11.



Please write out number 6 again, unchanged.
Compound: Rb2HgAu
Source: Alexandria via LeMat-Bulk
Functional: PBE
Structure: optimized geometry

Unit cell a=6.956 b=4.967 c=10.008 alpha=90.00 beta=108.16 gamma=90.00
Sites, in units of the cell vectors:
Rb1 0.202 0.250 0.424
Rb2 0.274 0.750 0.067
Rb3 0.726 0.250 0.933
Rb4 0.798 0.750 0.576
Hg1 0.350 0.750 0.720
Hg2 0.650 0.250 0.280
Au1 0.161 0.250 0.782
Au2 0.839 0.750 0.218

The calculated total energy is -1.67 eV per atom. The calculated formation energy comes out at -0.288 eV/atom. The space-group type is P2_1/m, No. 11.



Copy entry 2 word for word.
Compound: RbHgAu2
Source: Alexandria via LeMat-Bulk
Functional: PBE
Structure: optimized geometry

Unit cell a=10.532 b=10.532 c=10.532 alpha=150.29 beta=150.29 gamma=42.52
Sites, in units of the cell vectors:
Rb1 0.375 0.625 0.750
Rb2 0.625 0.375 0.250
Hg1 0.125 0.875 0.250
Hg2 0.875 0.125 0.750
Au1 0.000 0.000 0.000
Au2 0.000 0.000 0.500
Au3 0.000 0.500 0.000
Au4 0.500 0.000 0.500

The calculated total energy is -2.14 eV per atom. The calculated formation energy comes out at -0.180 eV/atom. The space-group type is I4_1/amd, No. 141.